A:
# NaMg6Co

An optimized crystal structure of NaMg6Co (PBE, Alexandria).

The space group is Cmmm (No. 65) and the conventional cell measures 10.2352, 10.3032 and 3.2451 Å, with angles of 90.00, 90.00 and 90.00 degrees. The distinct sites, in fractional coordinates, are Na at (0.0000, 0.0000, 0.0000), Mg at (0.0000, 0.2949, 0.5000), Mg at (0.2056, 0.5000, 0.5000), Mg at (0.2500, 0.2500, 0.0000) and Co at (0.0000, 0.5000, 0.0000).

The calculation puts the density of states at the Fermi level at 0.39 states/eV/atom.

***

B:
# NaMg6Co

An optimized crystal structure of NaMg6Co (PBE, Alexandria).

The space group is Amm2 (No. 38) and the conventional cell measures 4.9308, 6.3721 and 10.9061 Å, with angles of 90.00, 90.00 and 90.00 degrees. The distinct sites, in fractional coordinates, are Na at (0.0000, 0.0000, 0.0000), Mg at (0.0000, 0.0000, 0.5048), Mg at (0.0000, 0.2315, 0.7611), Mg at (0.5000, 0.0000, 0.3331), Mg at (0.5000, 0.2433, 0.5898) and Co at (0.5000, 0.0000, 0.8015).

The calculation puts the density of states at the Fermi level at 0.85 states/eV/atom.

***

Verdict on stability: A comes out on top.